No. 1
## TiVP3 (GGA-PBE)

Data for a relaxed structure of TiVP3.

Lattice parameters (Å, degrees): 4.6356 4.6356 4.6356 90.00 90.00 90.00
With the nearest neighbours (Å) after each atom.
Positions (direct):
Ti  0.0000  0.0000  0.0000  6 P 2.32
V  0.5000  0.5000  0.5000  12 P 3.28
P  0.0000  0.5000  0.0000  2 Ti 2.32
P  0.0000  0.0000  0.5000  2 Ti 2.32
P  0.5000  0.0000  0.0000  2 Ti 2.32

space-group type: Pm-3m, No. 221
E_form: 2.4 eV/f.u.
calculated volume: 19.92 A^3/atom
VASP energy: -30.89 eV/cell
DOS at the Fermi energy: 6.14 states/eV/f.u.

=====

No. 2
## MgIn2Cu (GGA-PBE)

Data for a relaxed structure of MgIn2Cu.

Lattice parameters (Å, degrees): 4.3566 3.5589 5.8107 72.09 90.00 90.00
With the nearest neighbours (Å) after each atom.
Positions (direct):
Cu  0.5000  0.9540  0.7142  3 In 2.66-2.69, 4 Mg 2.95
Mg  0.0000  0.5360  0.5535  4 Cu 2.95, 3 In 3.04-3.06
In  0.0000  0.8140  0.9996  2 Cu 2.69
In  0.5000  0.1959  0.2327  1 Cu 2.66

space-group type: Pm, No. 6
E_form: 0.1 eV/f.u.
calculated volume: 21.43 A^3/atom
VASP energy: -11.03 eV/cell
DOS at the Fermi energy: 1.18 states/eV/f.u.

=====

No. 3
## Tl2HPd (GGA-PBE)

Data for a relaxed structure of Tl2HPd.

Lattice parameters (Å, degrees): 4.7705 4.7705 4.7705 60.00 60.00 60.00
With the nearest neighbours (Å) after each atom.
Positions (direct):
H  0.0000  0.0000  0.0000  8 Tl 2.92
Tl  0.2500  0.2500  0.2500  4 H 2.92, 4 Pd 2.92
Tl  0.7500  0.7500  0.7500  4 Pd 2.92, 4 H 2.92
Pd  0.5000  0.5000  0.5000  8 Tl 2.92

space-group type: Fm-3m, No. 225
calculated volume: 19.19 A^3/atom
VASP energy: -11.95 eV/cell
DOS at the Fermi energy: 1.48 states/eV/f.u.